1.
The following is a PBE calculation of an optimized crystal structure of Re5Hg4, from Alexandria via LeMat-Bulk.

Cell: 8.0830 8.0830 5.4997 Å, 90.00 90.00 60.00°
Fractional positions:
Re: 0.3154 0.6846 0.2500
Re: 0.0000 0.3154 0.2500
Re: 0.6846 0.0000 0.2500
Re: 0.6846 0.3154 0.7500
Re: 0.0000 0.6846 0.7500
Re: 0.3154 0.0000 0.7500
Re: 0.3333 0.3333 0.0000
Re: 0.6667 0.6667 0.5000
Re: 0.6667 0.6667 0.0000
Re: 0.3333 0.3333 0.5000
Hg: 0.0000 0.0000 0.0000
Hg: 0.0000 0.0000 0.5000
Hg: 0.6439 0.3561 0.2500
Hg: 0.0000 0.6439 0.2500
Hg: 0.3561 0.0000 0.2500
Hg: 0.3561 0.6439 0.7500
Hg: 0.0000 0.3561 0.7500
Hg: 0.6439 0.0000 0.7500

Calculated values
E above lowest polymorph (eV/atom): 0.524
ΔE_f (meV/atom): 1283
Total moment (μB/atom): 0.00
Density of states at the Fermi level (states/eV/cell): 19.96

***

2.
The following is a PBE calculation of an optimized crystal structure of ReHg3, from Alexandria via LeMat-Bulk.

Cell: 2.9103 2.9103 11.6196 Å, 90.00 90.00 120.00°
Fractional positions:
Hg: 0.0000 0.0000 0.9646
Hg: 0.0000 0.0000 0.5354
Hg: 0.3333 0.6667 0.2500
Re: 0.3333 0.6667 0.7500

Calculated values
E above lowest polymorph (eV/atom): 0.151
ΔE_f (meV/atom): 663
Total moment (μB/atom): 0.00
Density of states at the Fermi level (states/eV/cell): 2.63

***

3.
The following is a PBE calculation of an optimized crystal structure of Re3Hg, from Alexandria via LeMat-Bulk.

Cell: 4.9274 9.3323 5.6171 Å, 90.00 90.00 90.00°
Fractional positions:
Re: 0.9196 0.2500 0.8597
Re: 0.2636 0.9871 0.3617
Re: 0.2636 0.5129 0.3617
Re: 0.2364 0.4871 0.8617
Re: 0.2364 0.0129 0.8617
Re: 0.5804 0.7500 0.3597
Re: 0.4196 0.2500 0.6403
Re: 0.7636 0.9871 0.1383
Re: 0.7636 0.5129 0.1383
Re: 0.7364 0.4871 0.6383
Re: 0.7364 0.0129 0.6383
Re: 0.0804 0.7500 0.1403
Hg: 0.0798 0.7500 0.6312
Hg: 0.4202 0.2500 0.1312
Hg: 0.5798 0.7500 0.8688
Hg: 0.9202 0.2500 0.3688

Calculated values
E above lowest polymorph (eV/atom): 0.234
ΔE_f (meV/atom): 629
Total moment (μB/atom): 0.00
Density of states at the Fermi level (states/eV/cell): 12.28

***

4.
The following is a PBE calculation of an optimized crystal structure of ReHg3, from Alexandria via LeMat-Bulk.

Cell: 5.3864 5.3864 5.3864 Å, 90.00 90.00 90.00°
Each line ends with the local moment (μB).
Fractional positions:
Hg: 0.0000 0.0000 0.5000  0.03
Hg: 0.0000 0.5000 0.0000  0.03
Hg: 0.5000 0.0000 0.0000  0.03
Re: 0.0000 0.0000 0.0000  1.69

Calculated values
E above lowest polymorph (eV/atom): 0.516
ΔE_f (meV/atom): 1028
Total moment (μB/atom): 0.52
Density of states at the Fermi level (states/eV/cell): 2.69

***

5.
The following is a PBE calculation of an optimized crystal structure of Re3Hg, from Alexandria via LeMat-Bulk.

Cell: 4.5477 5.0414 5.5856 Å, 90.00 90.00 90.00°
Fractional positions:
Re: 0.5000 0.6872 0.0000
Re: 0.0000 0.8448 0.2613
Re: 0.5000 0.1552 0.2387
Re: 0.0000 0.3128 0.5000
Re: 0.0000 0.8448 0.7387
Re: 0.5000 0.1552 0.7613
Hg: 0.0000 0.3559 0.0000
Hg: 0.5000 0.6441 0.5000

Calculated values
E above lowest polymorph (eV/atom): 0.226
ΔE_f (meV/atom): 622
Total moment (μB/atom): 0.00
Density of states at the Fermi level (states/eV/cell): 6.20

***

6.
The following is a PBE calculation of an optimized crystal structure of ReHg3, from Alexandria via LeMat-Bulk.

Cell: 4.8720 4.8720 4.8720 Å, 60.00 60.00 60.00°
Each line ends with the local moment (μB).
Fractional positions:
Hg: 0.0000 0.0000 0.0000  -0.01
Hg: 0.5000 0.5000 0.5000  -0.01
Hg: 0.2500 0.2500 0.2500  -0.02
Re: 0.7500 0.7500 0.7500  2.07

Calculated values
E above lowest polymorph (eV/atom): 0.581
ΔE_f (meV/atom): 1094
Total moment (μB/atom): 0.59
Density of states at the Fermi level (states/eV/cell): 3.52

***

7.
The following is a PBE calculation of an optimized crystal structure of Re3Hg5, from Alexandria via LeMat-Bulk.

Cell: 8.2851 8.2853 5.2087 Å, 90.00 90.00 60.00°
Fractional positions:
Re: 0.5771 0.4229 0.7500
Re: 0.4229 0.5771 0.2500
Re: 0.4229 0.0000 0.7500
Re: 0.0000 0.4229 0.2500
Re: 0.5771 0.0000 0.2500
Re: 0.0000 0.5771 0.7500
Hg: 0.7753 0.2247 0.2500
Hg: 0.2248 0.7753 0.7500
Hg: 0.2248 0.0000 0.2500
Hg: 0.0000 0.2247 0.7500
Hg: 0.6667 0.6667 0.0000
Hg: 0.6667 0.6667 0.5000
Hg: 0.3334 0.3333 0.0000
Hg: 0.3334 0.3333 0.5000
Hg: 0.7753 0.0000 0.7500
Hg: 0.0000 0.7753 0.2500

Calculated values
ΔE_f (meV/atom): 1104
Total moment (μB/atom): 0.00
Density of states at the Fermi level (states/eV/cell): 10.57

***

8.
The following is a PBE calculation of an optimized crystal structure of Re3Hg, from Alexandria via LeMat-Bulk.

Cell: 3.9951 3.9951 3.9951 Å, 90.00 90.00 90.00°
Fractional positions:
Hg: 0.0000 0.0000 0.0000
Re: 0.0000 0.5000 0.5000
Re: 0.5000 0.0000 0.5000
Re: 0.5000 0.5000 0.0000

Calculated values
E above lowest polymorph (eV/atom): 0.454
ΔE_f (meV/atom): 849
Total moment (μB/atom): 0.00
Density of states at the Fermi level (states/eV/cell): 5.69

***

9.
The following is a PBE calculation of an optimized crystal structure of Re3Hg, from Alexandria via LeMat-Bulk.

Cell: 2.7412 5.3144 5.3144 Å, 117.11 99.90 99.90°
Fractional positions:
Hg: 0.0000 0.0000 0.0000
Re: 0.5000 0.0000 0.5000
Re: 0.0000 0.5000 0.5000
Re: 0.5000 0.5000 0.0000

Calculated values
E above lowest polymorph (eV/atom): 0.525
ΔE_f (meV/atom): 920
Total moment (μB/atom): 0.01
Density of states at the Fermi level (states/eV/cell): 5.24

***

10.
The following is a PBE calculation of an optimized crystal structure of Re3Hg, from Alexandria via LeMat-Bulk.

Cell: 3.9804 4.9172 3.9804 Å, 66.13 90.00 113.87°
Fractional positions:
Hg: 0.0000 0.0000 0.0000
Re: 0.2500 0.5000 0.2500
Re: 0.5000 0.0000 0.5000
Re: 0.7500 0.5000 0.7500

Calculated values
E above lowest polymorph (eV/atom): 0.369
ΔE_f (meV/atom): 764
Total moment (μB/atom): 0.00
Density of states at the Fermi level (states/eV/cell): 3.67

***

11.
The following is a PBE calculation of an optimized crystal structure of ReHg3, from Alexandria via LeMat-Bulk.

Cell: 4.2768 4.2768 4.2745 Å, 90.00 90.00 90.00°
Each line ends with the local moment (μB).
Fractional positions:
Hg: 0.0000 0.0000 0.0000  -0.02
Hg: 0.5000 0.0000 0.5000  -0.02
Hg: 0.5000 0.5000 0.0000  -0.02
Re: 0.0000 0.5000 0.5000  1.06

Calculated values
E above lowest polymorph (eV/atom): 0.347
ΔE_f (meV/atom): 860
Total moment (μB/atom): 0.28
Density of states at the Fermi level (states/eV/cell): 2.08

***

12.
The following is a PBE calculation of an optimized crystal structure of Re3Hg, from Alexandria via LeMat-Bulk.

Cell: 2.8598 4.9586 4.9127 Å, 100.65 90.00 106.76°
Fractional positions:
Hg: 0.0000 0.0000 0.0000
Re: 0.7643 0.5286 0.2816
Re: 0.5000 0.0000 0.5000
Re: 0.2357 0.4714 0.7184

Calculated values
E above lowest polymorph (eV/atom): 0.196
ΔE_f (meV/atom): 591
Total moment (μB/atom): 0.00
Density of states at the Fermi level (states/eV/cell): 3.32

***

13.
The following is a PBE calculation of an optimized crystal structure of Re4Hg, from Alexandria via LeMat-Bulk.

Cell: 4.8659 4.8659 4.8659 Å, 99.90 99.90 131.01°
Fractional positions:
Re: 0.8037 0.5806 0.3843
Re: 0.1963 0.4194 0.6157
Re: 0.5806 0.1963 0.7769
Re: 0.4194 0.8037 0.2231
Hg: 0.0000 0.0000 0.0000

Calculated values
E above lowest polymorph (eV/atom): 0.000
ΔE_f (meV/atom): 499
Total moment (μB/atom): 0.00
Density of states at the Fermi level (states/eV/cell): 4.32

***

14.
The following is a PBE calculation of an optimized crystal structure of Re3Hg, from Alexandria via LeMat-Bulk.

Cell: 2.8314 2.8314 8.1286 Å, 90.00 90.00 90.00°
Fractional positions:
Hg: 0.0000 0.0000 0.0000
Re: 0.0000 0.0000 0.5000
Re: 0.5000 0.5000 0.2750
Re: 0.5000 0.5000 0.7250

Calculated values
E above lowest polymorph (eV/atom): 0.064
ΔE_f (meV/atom): 459
Total moment (μB/atom): 0.00
Density of states at the Fermi level (states/eV/cell): 2.26

***

15.
The following is a PBE calculation of an optimized crystal structure of Re3Hg, from Alexandria via LeMat-Bulk.

Cell: 5.6917 5.6917 4.5505 Å, 90.00 90.00 120.00°
Fractional positions:
Re: 0.8394 0.1606 0.2500
Re: 0.1606 0.8394 0.7500
Re: 0.8394 0.6789 0.2500
Re: 0.1606 0.3211 0.7500
Re: 0.3211 0.1606 0.2500
Re: 0.6789 0.8394 0.7500
Hg: 0.3333 0.6667 0.2500
Hg: 0.6667 0.3333 0.7500

Calculated values
E above lowest polymorph (eV/atom): 0.281
ΔE_f (meV/atom): 677
Total moment (μB/atom): 0.00
Density of states at the Fermi level (states/eV/cell): 9.13

***

16.
The following is a PBE calculation of an optimized crystal structure of Re3Hg, from Alexandria via LeMat-Bulk.

Cell: 2.8821 4.5271 4.9362 Å, 90.00 90.00 90.00°
Fractional positions:
Hg: 0.0000 0.0000 0.0052
Re: 0.0000 0.5000 0.3423
Re: 0.5000 0.0000 0.5077
Re: 0.5000 0.5000 0.8115

Calculated values
E above lowest polymorph (eV/atom): 0.211
ΔE_f (meV/atom): 606
Total moment (μB/atom): 0.00
Density of states at the Fermi level (states/eV/cell): 2.58

***

17.
The following is a PBE calculation of an optimized crystal structure of ReHg3, from Alexandria via LeMat-Bulk.

Cell: 2.8476 9.0996 4.9420 Å, 123.70 90.00 99.00°
Each line ends with the local moment (μB).
Fractional positions:
Hg: 0.0863 0.1725 0.9208  0.00
Hg: 0.4137 0.8275 0.5792  0.00
Hg: 0.2500 0.5000 0.7500  0.00
Re: 0.7500 0.5000 0.2500  -0.42

Calculated values
E above lowest polymorph (eV/atom): 0.079
ΔE_f (meV/atom): 591
Total moment (μB/atom): 0.12
Density of states at the Fermi level (states/eV/cell): 2.68

***

18.
The following is a PBE calculation of an optimized crystal structure of ReHg3, from Alexandria via LeMat-Bulk.

Cell: 5.4889 5.4889 5.4889 Å, 135.37 135.37 64.95°
Each line ends with the local moment (μB).
Fractional positions:
Hg: 0.0000 0.0000 0.0000  0.01
Hg: 0.5000 0.5000 0.0000  0.01
Hg: 0.7500 0.2500 0.5000  -0.02
Re: 0.2500 0.7500 0.5000  1.45

Calculated values
E above lowest polymorph (eV/atom): 0.460
ΔE_f (meV/atom): 972
Total moment (μB/atom): 0.42
Density of states at the Fermi level (states/eV/cell): 3.85

***

19.
The following is a PBE calculation of an optimized crystal structure of ReHg8, from Alexandria via LeMat-Bulk.

Cell: 7.2007 7.2007 7.2007 Å, 95.24 95.24 144.83°
Each line ends with the local moment (μB).
Fractional positions:
Re: 0.0000 0.0000 0.0000  2.23
Hg: 0.0000 0.6741 0.6741  0.01
Hg: 0.0000 0.3259 0.3259  0.01
Hg: 0.3259 0.0000 0.3259  0.01
Hg: 0.3403 0.6597 0.0000  0.01
Hg: 0.3403 0.3403 0.6805  0.01
Hg: 0.6741 0.0000 0.6741  0.01
Hg: 0.6597 0.6597 0.3195  0.01
Hg: 0.6597 0.3403 0.0000  0.01

Calculated values
ΔE_f (meV/atom): 544
Total moment (μB/atom): 0.31
Density of states at the Fermi level (states/eV/cell): 6.01

***

20.
The following is a PBE calculation of an optimized crystal structure of Re3Hg, from Alexandria via LeMat-Bulk.

Cell: 2.8220 9.5974 2.8220 Å, 98.45 60.00 98.45°
Fractional positions:
Hg: 0.0000 0.0000 0.0000
Re: 0.2429 0.7287 0.2429
Re: 0.5000 0.5000 0.5000
Re: 0.7571 0.2713 0.7571

Calculated values
E above lowest polymorph (eV/atom): 0.000
ΔE_f (meV/atom): 395
Total moment (μB/atom): 0.00
Density of states at the Fermi level (states/eV/cell): 3.83